No. 1
Material: MgCo2
Method: DFT, PBE
State: relaxed

```
MgCo2
1.0
5.7970 0.0000 0.0000
0.0000 5.7970 0.0000
0.0000 0.0000 5.7970
Mg Co
4 8
direct
0.0000 0.0000 0.0000 Mg
0.0000 0.5000 0.5000 Mg
0.5000 0.0000 0.5000 Mg
0.5000 0.5000 0.0000 Mg
0.1086 0.6086 0.8914 Co
0.1086 0.8914 0.3914 Co
0.3914 0.1086 0.8914 Co
0.3914 0.3914 0.3914 Co
0.6086 0.6086 0.6086 Co
0.6086 0.8914 0.1086 Co
0.8914 0.1086 0.6086 Co
0.8914 0.3914 0.1086 Co
```

Results
* E_form: 1.125 eV per atom
* total moment: 12.1 μB/cell
* SG: No. 205

***

No. 2
Material: MgCo
Method: DFT, PBE
State: relaxed

```
MgCo
1.0
0.0000 5.6723 5.6723
5.6723 0.0000 5.6723
5.6723 5.6723 0.0000
Mg Co
12 12
direct
0.0767 0.0767 0.6733 Mg
0.0767 0.6733 0.0767 Mg
0.0767 0.6733 0.6733 Mg
0.3267 0.3267 0.9233 Mg
0.3267 0.9233 0.3267 Mg
0.3267 0.9233 0.9233 Mg
0.6733 0.0767 0.0767 Mg
0.6733 0.0767 0.6733 Mg
0.6733 0.6733 0.0767 Mg
0.9233 0.3267 0.3267 Mg
0.9233 0.3267 0.9233 Mg
0.9233 0.9233 0.3267 Mg
0.0000 0.5000 0.5000 Co
0.2977 0.2977 0.2977 Co
0.2977 0.2977 0.6070 Co
0.2977 0.6070 0.2977 Co
0.3930 0.7023 0.7023 Co
0.5000 0.0000 0.5000 Co
0.5000 0.5000 0.0000 Co
0.5000 0.5000 0.5000 Co
0.6070 0.2977 0.2977 Co
0.7023 0.3930 0.7023 Co
0.7023 0.7023 0.3930 Co
0.7023 0.7023 0.7023 Co
```

Results
* E_form: -0.027 eV per atom
* total moment: 13.3 μB/cell
* SG: No. 227

***

No. 3
Material: MgCo
Method: DFT, PBE
State: relaxed

```
MgCo
1.0
2.7897 0.0000 0.0000
0.0000 5.9245 2.9968
0.0000 -5.9245 2.9968
Mg Co
3 3
direct
0.0000 0.0000 0.0000 Mg
0.0000 0.4082 0.8598 Mg
0.0000 0.8598 0.4082 Mg
0.0000 0.5543 0.5543 Co
0.5000 0.2211 0.4342 Co
0.5000 0.4342 0.2211 Co
```

Results
* E_form: 0.227 eV per atom
* total moment: 3.6 μB/cell
* SG: No. 38

***

No. 4
Material: MgCo2
Method: DFT, PBE
State: relaxed

```
MgCo2
1.0
-1.8658 1.8658 11.3620
1.8658 -1.8658 11.3620
1.8658 1.8658 -11.3620
Mg Co
4 8
direct
0.2944 0.5444 0.7500 Mg
0.4556 0.7056 0.7500 Mg
0.5444 0.2944 0.2500 Mg
0.7056 0.4556 0.2500 Mg
0.0528 0.8028 0.2500 Co
0.1258 0.3758 0.7500 Co
0.1972 0.9472 0.2500 Co
0.3758 0.1258 0.2500 Co
0.6242 0.8742 0.7500 Co
0.8028 0.0528 0.7500 Co
0.8742 0.6242 0.2500 Co
0.9472 0.1972 0.7500 Co
```

Results
* E_form: 0.200 eV per atom
* total moment: 11.1 μB/cell
* SG: No. 141